DFT (PBE) results for an optimized crystal structure of CsLiCd.

Results
As for the space group: P-6m2. The calculation puts the total energy at -3.53 eV/cell. The value obtained for the density of states at the Fermi level is 0.57 states/eV per atom. Its crystal system is hexagonal.

a = 5.757 Å, b = 5.131 Å, c = 5.131 Å
α = 120.00°, β = 90.00°, γ = 90.00°
Atoms (fractional coordinates):
Li (0.167, 0.333, 0.667)
Cs (0.666, 0.667, 0.333)
Cd (0.167, 0.000, 0.000)